# PBE RbPm4Bi3O12, relaxed
# crystal system: cubic
# uncorrected formation energy: -2.135 eV/atom
# electronic total energy: -267.6 eV per cell
# V: 682.7 Å³/cell
data_RbPm4Bi3O12
_chemical_formula_sum 'Rb2 Pm8 Bi6 O24'
_symmetry_space_group_name_H-M 'I m -3'
_symmetry_Int_Tables_number 204
_symmetry_space_group_name_Hall '-I 2 2 3'
_cell_length_a 8.805
_cell_length_b 8.805
_cell_length_c 8.805
_cell_angle_alpha 90.00
_cell_angle_beta 90.00
_cell_angle_gamma 90.00
loop_
_atom_site_label
_atom_site_fract_x
_atom_site_fract_y
_atom_site_fract_z
Rb1 0.000 0.000 0.000
Pm1 0.250 0.250 0.250
Bi1 0.000 0.000 0.500
O1 0.000 0.318 0.181